(1)
RbSeF3 GGA-PBE optimized geometry; VASP energy = -3.956 eV per atom; symmetry = P-1, No. 2; relative energy among the computed polymorphs = 0.000 eV/atom
1.0
-3.503 2.109 -1.744
-1.958 -5.767 -2.501
-6.790 -3.706 3.778
Rb Se F
2 2 6
direct
0.855 0.634 0.408
0.517 0.385 0.037
0.373 0.023 0.577
0.999 0.996 0.868
0.999 0.066 0.066
0.929 0.307 0.742
0.442 0.712 0.703
0.327 0.342 0.412
0.045 0.677 0.033
0.373 0.953 0.379

***

(2)
Rb12Se3F5 GGA-PBE optimized geometry; VASP energy = -3.318 eV per atom; symmetry = Ia-3d, No. 230
1.0
15.716 0.000 0.000
-5.239 14.817 0.000
-5.239 -7.409 12.832
Se F Rb
12 20 48
direct
0.750 0.375 0.125
0.875 0.750 0.125
0.375 0.750 0.625
0.250 0.125 0.375
0.875 0.125 0.250
0.375 0.625 0.250
0.625 0.375 0.750
0.125 0.875 0.750
0.750 0.875 0.625
0.625 0.250 0.375
0.125 0.250 0.875
0.250 0.625 0.875
0.125 0.375 0.250
0.000 0.500 0.000
0.000 0.000 0.000
0.375 0.250 0.125
0.500 0.000 0.500
0.500 0.500 0.000
0.125 0.750 0.375
0.750 0.125 0.875
0.750 0.625 0.375
0.375 0.125 0.750
0.625 0.875 0.250
0.500 0.500 0.500
0.500 0.000 0.000
0.000 0.000 0.500
0.250 0.375 0.625
0.250 0.875 0.125
0.000 0.500 0.500
0.875 0.250 0.625
0.625 0.750 0.875
0.875 0.625 0.750
0.708 0.125 0.029
0.321 0.529 0.404
0.971 0.375 0.292
0.529 0.208 0.125
0.583 0.708 0.679
0.971 0.596 0.179
0.321 0.792 0.417
0.096 0.917 0.125
0.596 0.971 0.679
0.708 0.583 0.179
0.792 0.471 0.375
0.821 0.904 0.029
0.125 0.708 0.529
0.375 0.404 0.083
0.083 0.904 0.375
0.417 0.125 0.596
0.083 0.179 0.208
0.471 0.679 0.096
0.821 0.917 0.292
0.125 0.417 0.096
0.375 0.971 0.792
0.596 0.625 0.417
0.904 0.821 0.529
0.792 0.321 0.917
0.404 0.375 0.583
0.096 0.179 0.471
0.208 0.679 0.083
0.179 0.083 0.708
0.625 0.029 0.208
0.875 0.583 0.904
0.529 0.321 0.904
0.583 0.875 0.404
0.917 0.821 0.792
0.917 0.096 0.625
0.875 0.292 0.471
0.179 0.096 0.971
0.625 0.596 0.917
0.404 0.029 0.321
0.292 0.417 0.821
0.208 0.529 0.625
0.904 0.083 0.875
0.679 0.208 0.583
0.471 0.792 0.875
0.029 0.404 0.821
0.417 0.292 0.321
0.029 0.625 0.708
0.679 0.471 0.596
0.292 0.875 0.971

***

Total magnetization? In order: 0.000; 0.000 μB/f.u..
Energy relative to the elements, uncorrected? In order: -1.94; -1.75 eV/atom.
DOS(E_F)? In order: 0.000; 0.054 states/eV/atom.